Entry 1:
## KFeP4H4O14 (SCAN)

Data for KFeP4H4O14 at its PBEsol-relaxed geometry.

Results
SG ... P-1, No. 2
Theoretical density ... 2.781 g/cm³
Final energy ... -0.66679 Ry/atom

Cell and atoms, written as extended XYZ:
```
24
Lattice="4.876 0.000 0.000 2.129 7.197 0.000 0.880 0.941 7.603" Properties=species:S:1:pos:R:3 pbc="T T T"
K 0.000 0.000 0.000
Fe 1.065 3.599 0.000
P 2.329 1.971 2.394
P 3.525 4.552 1.712
P 4.360 3.587 5.891
P 5.556 6.168 5.209
H 2.558 6.002 3.181
H 2.040 0.642 4.633
H 5.845 7.497 2.970
H 5.328 2.137 4.422
O 1.560 1.615 3.653
O 1.531 2.094 1.109
O 2.629 4.582 0.478
O 2.875 3.732 6.169
O 3.375 5.854 2.539
O 3.029 3.387 2.697
O 4.422 7.209 5.434
O 3.464 0.930 2.169
O 4.857 4.752 4.905
O 4.511 2.284 5.063
O 5.011 4.407 1.434
O 5.257 3.556 7.124
O 6.355 6.045 6.494
O 6.325 6.524 3.950
```


Entry 2:
## KFeH2S2O9 (SCAN)

Data for KFeH2S2O9 at its PBEsol-relaxed geometry.

Results
SG ... P2_1/m, No. 11
Theoretical density ... 2.937 g/cm³
Final energy ... -0.64991 Ry/atom

Cell and atoms, written as extended XYZ:
```
30
Lattice="7.821 0.000 0.000 0.000 4.999 0.000 -2.225 0.000 8.826" Properties=species:S:1:pos:R:3 pbc="T T T"
K 0.169 1.250 1.890
K 5.427 3.749 6.936
Fe 1.492 3.749 6.848
Fe 4.104 1.250 1.978
H 1.398 2.926 4.576
H 1.398 4.572 4.576
H 4.198 0.427 4.250
H 4.198 2.073 4.250
S -0.152 1.250 5.858
S 2.516 3.749 0.980
S 3.080 1.250 7.846
S 5.748 3.749 2.968
O -0.658 3.749 3.294
O 1.134 3.749 0.533
O 0.102 0.032 6.724
O 0.102 2.467 6.724
O 0.762 1.250 4.695
O 1.811 3.749 4.965
O 2.715 2.541 1.868
O 2.715 4.957 1.868
O 1.318 3.749 8.753
O 4.278 1.250 0.073
O 2.881 0.042 6.958
O 2.881 2.457 6.958
O 3.785 1.250 3.861
O 4.834 3.749 4.131
O 5.494 2.532 2.102
O 5.494 4.967 2.102
O 4.462 1.250 8.293
O 6.253 1.250 5.532
```


Entry 3:
## LaFe5H7 (SCAN)

Data for LaFe5H7 at its PBEsol-relaxed geometry.

Results
Density of states at the Fermi level ... 5.2 states/eV/cell
Distance to the lowest polymorph of the same formula ... 0.000 eV per atom
SG ... P6_3mc, No. 186
Theoretical density ... 6.563 g/cm³
Final energy ... -0.90351 Ry/atom

Cell and atoms, written as extended XYZ:
```
26
Lattice="5.511 0.000 0.000 -2.755 4.772 0.000 0.000 0.000 8.181" Properties=species:S:1:pos:R:3 pbc="T T T"
La 0.000 0.000 0.000
La 0.000 0.000 4.091
Fe -1.281 2.442 2.042
Fe 0.000 3.182 0.073
Fe 0.000 3.182 4.388
Fe 1.281 2.442 2.042
Fe 0.000 4.661 2.042
Fe 2.755 0.111 6.132
Fe 1.474 2.331 6.132
Fe 2.755 1.591 0.298
Fe 2.755 1.591 4.163
Fe 4.037 2.331 6.132
H -1.347 2.404 3.748
H 0.000 1.326 2.041
H -1.607 4.109 2.041
H 1.148 0.663 6.131
H 0.000 3.182 6.258
H 1.347 2.404 3.748
H 0.000 4.737 3.748
H 2.755 0.035 7.839
H 1.408 2.369 7.839
H 2.755 1.591 2.167
H 1.607 4.109 2.041
H 4.362 0.663 6.131
H 2.755 3.446 6.131
H 4.102 2.369 7.839
```


Entry 4:
## LaFe5H7 (SCAN)

Data for LaFe5H7 at its PBEsol-relaxed geometry.

Results
Density of states at the Fermi level ... 7.2 states/eV/cell
Distance to the lowest polymorph of the same formula ... 0.017 eV per atom
SG ... Cccm, No. 66
Theoretical density ... 6.717 g/cm³
Final energy ... -0.90225 Ry/atom

Cell and atoms, written as extended XYZ:
```
26
Lattice="2.851 -4.560 0.000 2.851 4.560 0.000 0.000 0.000 8.085" Properties=species:S:1:pos:R:3 pbc="T T T"
La 0.000 0.000 0.000
La 0.000 0.000 4.043
Fe 1.426 2.280 2.167
Fe 1.426 2.280 5.918
Fe 2.795 1.394 0.000
Fe 2.907 1.394 4.043
Fe 1.426 -2.280 1.876
Fe 1.426 -2.280 6.209
Fe 2.851 0.000 2.021
Fe 2.851 0.000 6.064
Fe 2.795 -1.394 4.043
Fe 2.907 -1.394 0.000
H 1.426 2.280 4.043
H 2.851 3.129 2.021
H 2.851 3.129 6.064
H 1.726 0.953 1.240
H 1.726 0.953 6.845
H 1.726 -0.953 2.803
H 1.726 -0.953 5.282
H 1.426 -2.280 0.000
H 3.976 0.953 2.803
H 3.976 0.953 5.282
H 3.976 -0.953 1.240
H 3.976 -0.953 6.845
H 2.851 -3.129 2.021
H 2.851 -3.129 6.064
```


Entry 5:
## LaFe3H (SCAN)

Data for LaFe3H at its PBEsol-relaxed geometry.

Results
Density of states at the Fermi level ... 6.0 states/eV/cell
SG ... Pm-3m, No. 221
Theoretical density ... 8.402 g/cm³
Final energy ... -1.44474 Ry/atom

Cell and atoms, written as extended XYZ:
```
5
Lattice="3.931 0.000 0.000 0.000 3.931 0.000 0.000 0.000 3.931" Properties=species:S:1:pos:R:3 pbc="T T T"
La 0.000 0.000 0.000
Fe 0.000 1.966 1.966
Fe 1.966 0.000 1.966
Fe 1.966 1.966 0.000
H 1.966 1.966 1.966
```


Entry 6:
## Na2LiFeH (SCAN)

Data for Na2LiFeH at its PBEsol-relaxed geometry.

Results
Density of states at the Fermi level ... 1.9 states/eV/cell
SG ... P4/mmm, No. 123
Theoretical density ... 2.003 g/cm³
Final energy ... -0.44650 Ry/atom

Cell and atoms, written as extended XYZ:
```
5
Lattice="5.224 0.000 0.000 0.000 5.224 0.000 0.000 0.000 3.334" Properties=species:S:1:pos:R:3 pbc="T T T"
Na 0.000 2.612 0.000
Na 2.612 0.000 0.000
Li 0.000 0.000 1.667
Fe 2.612 2.612 1.667
H 0.000 0.000 0.000
```


Entry 7:
## LiFe2P2HO8 (SCAN)

Data for LiFe2P2HO8 at its PBEsol-relaxed geometry.

Results
Distance to the lowest polymorph of the same formula ... 0.008 eV per atom
SG ... P-1, No. 2
Theoretical density ... 3.113 g/cm³
Final energy ... -0.74246 Ry/atom

Cell and atoms, written as extended XYZ:
```
28
Lattice="4.979 0.000 0.000 -1.566 7.829 0.000 -0.111 -0.580 8.473" Properties=species:S:1:pos:R:3 pbc="T T T"
Li 0.375 2.491 3.086
Li 2.926 4.757 5.387
Fe 0.310 2.576 6.382
Fe 1.254 0.517 7.335
Fe 2.048 6.732 1.138
Fe 2.992 4.672 2.091
P -0.580 5.331 7.772
P 0.569 5.570 3.590
P 2.733 1.678 4.883
P 3.882 1.917 0.701
H 2.157 0.414 3.131
H 1.144 6.835 5.342
O -0.359 1.538 7.875
O -0.815 4.168 6.794
O -0.916 5.248 3.769
O -1.109 6.608 7.080
O 0.897 5.422 8.171
O 0.790 6.806 2.677
O 1.334 4.348 3.032
O 2.050 1.383 3.484
O 1.251 5.865 4.989
O 1.968 2.900 5.441
O 2.512 0.443 5.796
O 2.405 1.826 0.302
O 4.411 0.641 1.393
O 4.218 2.000 4.703
O 4.117 3.080 1.679
O 3.661 5.711 0.598
```


Entry 8:
## Li3FeP2HO8 (SCAN)

Data for Li3FeP2HO8 at its PBEsol-relaxed geometry.

Results
SG ... P-1, No. 2
Theoretical density ... 3.159 g/cm³
Final energy ... -0.65417 Ry/atom

Cell and atoms, written as extended XYZ:
```
15
Lattice="4.939 0.000 0.000 1.926 4.625 0.000 0.022 0.070 6.159" Properties=species:S:1:pos:R:3 pbc="T T T"
Li 0.000 0.000 0.000
Li 2.315 1.075 4.574
Li 4.572 3.620 1.585
Fe 0.011 0.035 3.080
P 2.471 1.683 1.566
P 4.416 3.012 4.593
H 0.963 2.312 0.000
O 1.651 1.360 0.253
O 1.660 1.171 2.766
O 2.670 3.215 1.621
O 3.086 3.791 4.685
O 3.801 0.904 1.475
O 4.217 1.480 4.538
O 5.227 3.524 3.393
O 5.237 3.335 5.906
```


Entry 9:
## LiFe2P2HO8 (SCAN)

Data for LiFe2P2HO8 at its PBEsol-relaxed geometry.

Results
Distance to the lowest polymorph of the same formula ... 0.015 eV per atom
SG ... P2_1, No. 4
Theoretical density ... 3.326 g/cm³
Final energy ... -0.74199 Ry/atom

Cell and atoms, written as extended XYZ:
```
28
Lattice="4.985 0.000 0.000 0.000 8.281 0.000 -1.662 0.000 7.490" Properties=species:S:1:pos:R:3 pbc="T T T"
Li 0.821 0.000 1.870
Li 2.502 4.140 5.619
Fe 0.418 5.463 0.497
Fe 1.260 2.844 3.205
Fe 2.063 6.984 4.285
Fe 2.905 1.323 6.992
P -0.280 5.380 3.511
P 1.929 2.937 0.234
P 1.394 7.077 7.255
P 3.603 1.239 3.978
H -0.023 0.062 5.616
H 3.345 4.203 1.874
O -1.037 0.586 5.398
O -0.084 1.439 3.188
O -0.705 3.857 6.963
O 0.436 6.700 3.170
O 1.223 1.613 0.598
O 0.680 4.428 4.240
O 1.758 6.867 0.556
O 1.065 7.774 5.863
O 2.258 3.634 1.627
O 1.565 2.727 6.934
O 2.642 0.288 3.250
O 2.099 5.753 6.892
O 2.887 2.560 4.320
O 4.027 7.998 0.526
O 3.406 5.579 4.301
O 4.359 4.726 2.092
```


Entry 10:
## LiFe2P2HO8 (SCAN)

Data for LiFe2P2HO8 at its PBEsol-relaxed geometry.

Results
Density of states at the Fermi level ... 1.5 states/eV/cell
Distance to the lowest polymorph of the same formula ... 0.000 eV per atom
SG ... P2/c, No. 13
Theoretical density ... 3.398 g/cm³
Final energy ... -0.74306 Ry/atom

Cell and atoms, written as extended XYZ:
```
56
Lattice="8.396 0.000 0.000 0.000 4.792 0.000 -1.383 0.000 15.041" Properties=species:S:1:pos:R:3 pbc="T T T"
Li -0.346 0.381 3.760
Li -1.037 4.411 11.280
Li 3.161 0.582 11.280
Li 3.852 4.210 3.760
Fe 0.620 1.047 0.016
Fe -0.071 3.746 7.536
Fe 3.590 1.065 0.018
Fe 2.898 3.727 7.538
Fe 4.115 1.065 7.502
Fe 3.424 3.727 15.023
Fe 7.085 1.047 7.505
Fe 6.393 3.746 15.025
P 1.397 1.253 5.867
P 0.706 3.539 13.387
P 1.402 1.345 9.317
P 2.093 3.447 1.797
P 4.920 1.345 13.244
P 5.612 3.447 5.723
P 6.308 1.253 1.654
P 5.617 3.539 9.174
H 1.791 2.336 3.773
H 1.100 2.456 11.293
H 5.914 2.336 3.747
H 5.223 2.456 11.268
O 0.118 1.956 6.391
O -0.574 2.837 13.911
O 0.121 0.537 8.977
O 0.812 4.256 1.457
O 1.317 1.213 4.325
O 0.626 3.580 11.845
O 0.718 0.209 13.934
O 1.409 4.583 6.414
O 2.093 2.046 1.172
O 1.401 2.747 8.692
O 1.502 1.511 10.878
O 2.194 3.281 3.358
O 2.693 1.962 6.325
O 2.002 2.830 13.845
O 2.678 0.522 8.966
O 3.369 4.270 1.446
O 3.645 0.522 13.595
O 4.336 4.270 6.074
O 5.012 1.962 1.196
O 4.321 2.830 8.716
O 4.820 1.511 11.682
O 5.511 3.281 4.162
O 5.612 2.046 6.348
O 4.921 2.747 13.869
O 5.605 0.209 8.627
O 6.296 4.583 1.107
O 6.388 1.213 3.195
O 5.697 3.580 10.716
O 6.201 0.537 13.583
O 6.893 4.256 6.063
O 7.587 1.956 1.129
O 6.896 2.837 8.649
```


Entry 11:
## Li2FeP4H16O20 (SCAN)

Data for Li2FeP4H16O20 at its PBEsol-relaxed geometry.

Results
SG ... P2_1/c, No. 14
Theoretical density ... 2.318 g/cm³
Final energy ... -0.53917 Ry/atom

Cell and atoms, written as extended XYZ:
```
86
Lattice="6.930 0.000 0.000 0.000 10.411 0.000 -4.836 0.000 10.518" Properties=species:S:1:pos:R:3 pbc="T T T"
Li -0.695 1.723 4.718
Li -3.113 3.483 9.977
Li 5.207 6.929 0.540
Li 2.790 8.688 5.799
Fe 3.465 0.000 0.000
Fe 1.047 5.206 5.259
P -3.464 0.471 8.177
P -1.046 4.735 2.918
P 1.783 7.619 0.930
P -0.635 7.998 6.189
P 2.729 2.414 4.329
P 0.311 2.792 9.588
P 3.141 5.677 7.600
P 5.559 9.940 2.341
H -3.870 6.160 9.956
H -1.452 9.457 4.697
H -1.357 6.112 4.586
H -3.775 9.505 9.845
H -2.517 7.485 7.576
H -0.100 8.132 2.317
H 1.185 1.039 1.040
H -1.233 4.166 6.299
H -1.022 0.476 7.294
H 1.396 4.729 2.035
H 2.466 1.806 1.616
H 0.049 3.400 6.875
H 2.781 5.694 1.123
H 0.363 9.923 6.382
H -0.584 6.566 8.602
H 1.834 9.051 3.343
H 0.260 1.360 7.175
H 2.678 3.845 1.916
H 1.731 0.489 4.136
H -0.686 4.717 9.395
H 2.046 7.012 3.642
H -0.372 8.605 8.901
H 0.699 5.682 8.483
H 3.117 9.935 3.224
H 3.327 6.245 4.219
H 0.910 9.372 9.478
H 2.194 2.279 8.201
H 4.612 2.926 2.942
H 5.869 0.907 0.673
H 3.451 4.299 5.932
H 3.547 0.954 5.821
H 5.965 4.252 0.562
O -3.748 2.005 8.418
O -1.330 3.200 3.159
O -0.466 0.381 1.369
O -2.884 4.824 6.628
O 0.622 6.851 0.224
O -1.796 8.765 5.482
O -3.409 5.304 9.030
O -0.991 10.313 3.771
O -1.994 0.251 8.526
O 0.423 4.955 3.267
O -0.364 6.684 5.458
O 2.054 8.933 0.199
O 2.051 1.451 0.772
O -0.367 3.755 6.031
O -1.086 7.767 7.649
O 1.332 7.850 2.390
O -0.279 0.703 6.629
O 2.139 4.503 1.370
O 1.436 1.529 4.357
O -0.981 3.676 9.616
O 3.076 6.735 0.902
O 0.658 8.882 6.161
O -0.045 5.908 9.148
O 2.373 9.708 3.889
O 0.763 2.561 8.128
O 3.181 2.644 2.869
O 2.462 6.656 4.487
O 0.044 8.961 9.746
O 0.041 1.478 10.319
O 2.459 3.727 5.060
O 1.671 5.456 7.251
O 4.089 10.160 1.992
O 3.086 0.098 6.747
O 5.504 5.107 1.488
O 3.890 1.646 5.035
O 1.473 3.560 10.294
O 4.979 5.587 3.890
O 2.561 10.030 9.149
O 3.424 7.211 7.359
O 5.842 8.406 2.100
```


Q: What is the final energy in the tenth record?
A: -0.74306 Ry/atom